(1)
Crystalline NaFe2IrO at its relaxed geometry. Source: Alexandria via LeMat-Bulk, functional GGA+U.

Calculated values
- spin magnetization (Bohr magnetons per cell) = 9.56
- crystal system = tetragonal
- symmetry = P4/mmm
- uncorrected energy (eV per cell) = -20.45

POSCAR file:
```
NaFe2IrO
1.0
4.781 0.000 0.000
0.000 4.781 0.000
0.000 0.000 5.436
Na Fe Ir O
1 2 1 1
Direct
0.000 0.000 0.000
0.000 0.500 0.500
0.500 0.000 0.500
0.000 0.000 0.500
0.500 0.500 0.000
```



(2)
Crystalline Na3Fe2IrO6 at its relaxed geometry. Source: Alexandria via LeMat-Bulk, functional GGA+U.

Calculated values
- spin magnetization (Bohr magnetons per cell) = 9.93
- crystal system = monoclinic
- symmetry = C2/m
- uncorrected energy (eV per cell) = -70.55

POSCAR file:
```
Na3Fe2IrO6
1.0
2.668 -4.619 0.000
2.668 4.619 0.000
-1.778 0.000 5.391
Na Fe Ir O
3 2 1 6
Direct
0.000 0.000 0.000
0.336 0.664 0.000
0.664 0.336 0.000
0.167 0.833 0.500
0.833 0.167 0.500
0.500 0.500 0.500
0.094 0.432 0.296
0.229 0.229 0.703
0.432 0.094 0.296
0.568 0.906 0.704
0.771 0.771 0.297
0.906 0.568 0.704
```



Look up the uncorrected energy of the first one.
-20.45 eV per cell



Which value of uncorrected energy does entry 2 give?
-70.55 eV per cell